Record 1
Computed, not measured: an optimized crystal structure of AcRhI6 at the PBE-GGA level of DFT.

a = 8.0500 Å, b = 8.0500 Å, c = 8.0500 Å
α = 54.43°, β = 54.43°, γ = 54.43°
Sites, in units of the cell vectors:
1 Ac 0.0000 0.0000 0.0000
2 Rh 0.5000 0.5000 0.5000
3 I 0.1084 0.7110 0.4530
4 I 0.2890 0.5470 0.8916
5 I 0.4530 0.1084 0.7110
6 I 0.5470 0.8916 0.2890
7 I 0.7110 0.4530 0.1084
8 I 0.8916 0.2890 0.5470

Properties
As for the space-group type: R-3. The raw total energy comes out at -3.350 eV/atom. The formation energy without anion corrections is -72.8 kJ per mole of atoms.

=====

Record 2
Computed, not measured: an optimized crystal structure of Ac6RuRh2I2 at the PBE-GGA level of DFT.

a = 7.5386 Å, b = 7.5386 Å, c = 9.1201 Å
α = 97.86°, β = 97.86°, γ = 120.10°
Sites, in units of the cell vectors:
1 Ac 0.0575 0.3893 0.1810
2 Ac 0.2659 0.2659 0.8194
3 Ac 0.3893 0.0575 0.1810
4 Ac 0.6107 0.9425 0.8190
5 Ac 0.7341 0.7341 0.1806
6 Ac 0.9425 0.6107 0.8190
7 Ru 0.0000 0.0000 0.0000
8 Rh 0.3317 0.6683 0.0000
9 Rh 0.6683 0.3317 0.0000
10 I 0.1652 0.8348 0.5000
11 I 0.8348 0.1652 0.5000

Properties
The value obtained for the density of states at the Fermi level is 5.366 states/eV/f.u. As for the space-group type: C2/m. The raw total energy comes out at -5.469 eV/atom. The formation energy without anion corrections is -74.0 kJ per mole of atoms.

=====

Record 3
Computed, not measured: an optimized crystal structure of Ac6RuRh2I3 at the PBE-GGA level of DFT.

a = 7.5432 Å, b = 7.5432 Å, c = 9.0473 Å
α = 97.98°, β = 97.98°, γ = 120.00°
Sites, in units of the cell vectors:
1 Ac 0.0616 0.3903 0.1847
2 Ac 0.2671 0.2671 0.8152
3 Ac 0.3903 0.0616 0.1847
4 Ac 0.6097 0.9384 0.8153
5 Ac 0.7329 0.7329 0.1848
6 Ac 0.9384 0.6097 0.8153
7 Ru 0.0000 0.0000 0.0000
8 Rh 0.3333 0.6667 0.0000
9 Rh 0.6667 0.3333 0.0000
10 I 0.1659 0.8341 0.5000
11 I 0.5000 0.5000 0.5000
12 I 0.8341 0.1659 0.5000

Properties
The value obtained for the density of states at the Fermi level is 3.353 states/eV/f.u. As for the space-group type: C2/m. The raw total energy comes out at -5.377 eV/atom. The formation energy without anion corrections is -90.4 kJ per mole of atoms.